! PBE+U Mn4Nb2O9, relaxed; values from VASP
! - ΔE to the lowest computed polymorph (kJ/mol of atoms) = 0.00
&SYSTEM
  ibrav = 0, nat = 30, ntyp = 3
/
ATOMIC_SPECIES
Mn 54.94 Mn.upf
O 16.00 O.upf
Nb 92.91 Nb.upf
ATOMIC_POSITIONS angstrom
Mn -0.9709 2.5691 1.5049
O -12.3733 -2.5278 5.4647
O -13.5359 -0.3818 3.7599
O -12.7852 -2.9981 2.5540
Mn -11.4261 -1.4091 3.6273
O -10.0463 -2.9774 3.2851
Nb -4.7613 -1.8116 0.9666
O -9.6543 -2.2452 6.5885
Mn -2.0998 -0.7008 3.5936
O -10.6810 -0.2642 5.2442
O -3.4797 0.8674 3.9359
Nb -1.8978 -0.7221 0.3853
O -3.8717 0.1353 0.6324
Mn -7.6300 0.0353 2.8568
O -6.2585 1.4126 4.0693
Mn -8.7587 -3.2345 4.9454
O -6.7074 -3.4361 6.0743
O -6.8189 1.3261 1.1467
O -2.8451 -1.8457 1.9767
Mn -12.5554 -4.6791 5.7161
O -5.6404 -1.0452 2.5072
O -0.7410 0.8881 4.6670
O -7.8859 -1.0648 4.7138
Mn -5.8965 -2.1454 4.3643
O 0.0097 -1.7282 3.4611
O -1.1529 0.4178 1.7563
Nb -11.6285 -1.3879 6.8357
Nb -8.5568 -3.2558 1.7371
Mn -4.7672 1.1246 2.2756
O -7.2678 -3.5226 3.1518
CELL_PARAMETERS angstrom
-1.9484 5.0374 -0.1562
-13.3179 -5.0674 2.7037
1.7402 -2.0800 4.6735